(1)
Tm3AlTe: relaxed, GGA-PBE.

Unit cell a=6.2724 b=9.8008 c=10.7940 alpha=121.18 beta=90.00 gamma=90.00
Atoms (fractional coordinates):
Tm  0.8705  0.4206  0.8266
Tm  0.0592  0.7576  0.5524
Tm  0.4356  0.3303  0.5578
Tm  0.0644  0.8303  0.0578
Tm  0.4408  0.2576  0.0524
Tm  0.1295  0.5794  0.1734
Tm  0.9356  0.1697  0.9422
Tm  0.6295  0.9206  0.3266
Tm  0.5644  0.6697  0.4422
Tm  0.3705  0.0794  0.6734
Tm  0.5592  0.7424  0.9476
Tm  0.9408  0.2424  0.4476
Te  0.7242  0.0846  0.1537
Te  0.2758  0.9154  0.8463
Te  0.7758  0.5846  0.6537
Te  0.2242  0.4154  0.3463
Al  0.8567  0.0639  0.6155
Al  0.6433  0.5639  0.1155
Al  0.1433  0.9361  0.3845
Al  0.3567  0.4361  0.8845

**Space-group type**: No. 14
**Formation energy (no corrections)**: -437 meV/atom

***

(2)
Tm3AlTe2: relaxed, GGA-PBE.

Unit cell a=4.1214 b=6.0535 c=7.6093 alpha=113.44 beta=105.71 gamma=90.00
Atoms (fractional coordinates):
Te  0.3279  0.8279  0.6558
Te  0.6721  0.1721  0.3442
Tm  0.0000  0.0000  0.0000
Tm  0.3438  0.3438  0.6876
Tm  0.6562  0.6562  0.3124
Al  0.0000  0.5000  0.0000

**Space-group type**: No. 71
**Formation energy (no corrections)**: -901 meV/atom

***

(3)
TmAlTe3: relaxed, GGA-PBE.

Unit cell a=7.3321 b=8.2552 c=11.6875 alpha=90.00 beta=90.00 gamma=90.00
Atoms (fractional coordinates):
Te  0.1538  0.8207  0.4357
Te  0.3462  0.3207  0.4357
Te  0.1461  0.5037  0.7500
Te  0.6461  0.9963  0.2500
Te  0.8539  0.4963  0.2500
Te  0.8462  0.1793  0.9357
Te  0.1538  0.8207  0.0643
Te  0.6538  0.6793  0.9357
Te  0.8462  0.1793  0.5643
Te  0.3462  0.3207  0.0643
Te  0.6538  0.6793  0.5643
Te  0.3539  0.0037  0.7500
Tm  0.0000  0.5000  0.0000
Tm  0.5000  0.0000  0.0000
Tm  0.0000  0.5000  0.5000
Tm  0.5000  0.0000  0.5000
Al  0.0385  0.1770  0.7500
Al  0.9615  0.8230  0.2500
Al  0.5385  0.3230  0.2500
Al  0.4615  0.6770  0.7500

**Space-group type**: No. 62
**ΔE to the lowest computed polymorph**: 11.8 kJ per mole of atoms
**Formation energy (no corrections)**: -773 meV/atom

***

(4)
Tm7AlTe2: relaxed, GGA-PBE.

Unit cell a=5.2402 b=8.5696 c=8.5696 alpha=118.34 beta=90.00 gamma=90.00
Atoms (fractional coordinates):
Te  0.5000  0.6991  0.3009
Te  0.5000  0.3009  0.6991
Tm  0.5000  0.0651  0.2962
Tm  0.5000  0.2962  0.0651
Tm  0.5000  0.9349  0.7038
Tm  0.0000  0.2183  0.7817
Tm  0.5000  0.7038  0.9349
Tm  0.0000  0.7817  0.2183
Tm  0.5000  0.5000  0.5000
Al  0.0000  0.0000  0.0000

**Space-group type**: No. 65
**Formation energy (no corrections)**: 15 meV/atom

***

- The lowest formation energy (no corrections) belongs to which entry?
  Tm3AlTe2

***

- Which value of formation energy (no corrections) does entry 3 give?
  -773 meV/atom